An optimized crystal structure of LaIrOs, computed with PBE.

Properties
The calculation puts the volume at 60.75 Å³/f.u. As for the density of states at the Fermi level: 0.693 states/eV/atom. For the energy above the most stable polymorph in this dataset, the calculation gives 162 meV per atom. As for the energy of formation from the pure elements: -0.055 eV per atom.

a = 8.726 Å, b = 5.696 Å, c = 5.080 Å
α = 90.00°, β = 105.77°, γ = 90.00°
Space group C2/m (No. 12)
One atom of each set of equivalent atoms:
La 0.134 0.000 0.371 [4 per cell]
Ir 0.250 0.250 0.000 [4 per cell]
Os 0.004 0.500 0.263 [4 per cell]